Record 1
DFT (PBE) results for a relaxed structure of HfHg2Ir.

Output
- energy relative to the elements (eV/atom) = 0.01
- SG = F-43m (216)

a = 4.7496 Å, b = 4.7496 Å, c = 4.7496 Å
α = 60.00°, β = 60.00°, γ = 60.00°
With the nearest neighbours (Å) after each atom.
Fractional positions:
Hf: 0.0000 0.0000 0.0000  4 Ir 2.91, 4 Hg 2.91
Hg: 0.2500 0.2500 0.2500  4 Hf 2.91, 4 Hg 2.91
Hg: 0.5000 0.5000 0.5000  4 Ir 2.91, 4 Hg 2.91
Ir: 0.7500 0.7500 0.7500  4 Hg 2.91, 4 Hf 2.91

***

Record 2
DFT (PBE) results for a relaxed structure of Hf2HgIr.

Output
- energy relative to the elements (eV/atom) = -0.10
- SG = F-43m (216)

a = 4.7217 Å, b = 4.7217 Å, c = 4.7217 Å
α = 60.00°, β = 60.00°, γ = 60.00°
With the nearest neighbours (Å) after each atom.
Fractional positions:
Hf: 0.0000 0.0000 0.0000  4 Hg 2.89, 4 Hf 2.89
Hf: 0.2500 0.2500 0.2500  4 Hf 2.89, 4 Ir 2.89
Hg: 0.7500 0.7500 0.7500  4 Ir 2.89, 4 Hf 2.89
Ir: 0.5000 0.5000 0.5000  4 Hg 2.89, 4 Hf 2.89

***

Record 3
DFT (PBE) results for a relaxed structure of HfHgIr2.

Output
- energy relative to the elements (eV/atom) = 0.04
- SG = F-43m (216)

a = 4.6229 Å, b = 4.6229 Å, c = 4.6229 Å
α = 60.00°, β = 60.00°, γ = 60.00°
With the nearest neighbours (Å) after each atom.
Fractional positions:
Hf: 0.0000 0.0000 0.0000  4 Hg 2.83, 4 Ir 2.83
Hg: 0.7500 0.7500 0.7500  4 Ir 2.83, 4 Hf 2.83
Ir: 0.2500 0.2500 0.2500  4 Hf 2.83, 4 Ir 2.83
Ir: 0.5000 0.5000 0.5000  4 Hg 2.83, 4 Ir 2.83

***

Record 4
DFT (PBE) results for a relaxed structure of HfHg2Ir.

Output
- energy relative to the elements (eV/atom) = 0.01
- SG = F-43m (216)

a = 4.7496 Å, b = 4.7496 Å, c = 4.7496 Å
α = 60.00°, β = 60.00°, γ = 60.00°
With the nearest neighbours (Å) after each atom.
Fractional positions:
Hf: 0.0000 0.0000 0.0000  4 Hg 2.91, 4 Ir 2.91
Hg: 0.5000 0.5000 0.5000  4 Hg 2.91, 4 Ir 2.91
Hg: 0.7500 0.7500 0.7500  4 Hg 2.91, 4 Hf 2.91
Ir: 0.2500 0.2500 0.2500  4 Hg 2.91, 4 Hf 2.91

***

Record 5
DFT (PBE) results for a relaxed structure of HfHgIr.

Output
- energy relative to the elements (eV/atom) = 0.08
- ΔE to the lowest computed polymorph (meV/atom) = 287
- SG = F-43m (216)

a = 4.5273 Å, b = 4.5273 Å, c = 4.5273 Å
α = 60.00°, β = 60.00°, γ = 60.00°
With the nearest neighbours (Å) after each atom.
Fractional positions:
Hf: 0.0000 0.0000 0.0000  4 Hg 2.77, 4 Ir 2.77
Hg: 0.7500 0.7500 0.7500  4 Hf 2.77
Ir: 0.2500 0.2500 0.2500  4 Hf 2.77

***

Record 6
DFT (PBE) results for a relaxed structure of KHfHg3O4.

Output
- E (eV per atom) = -4.66
- SG = P-43m (215)

a = 5.9860 Å, b = 5.9860 Å, c = 5.9860 Å
α = 90.00°, β = 90.00°, γ = 90.00°
With the nearest neighbours (Å) after each atom.
Fractional positions:
K: 0.0000 0.0000 0.0000  4 O 3.19
Hf: 0.5000 0.5000 0.5000  4 O 2.00
Hg: 0.0000 0.5000 0.5000  4 O 2.46
Hg: 0.5000 0.0000 0.5000  4 O 2.46
Hg: 0.5000 0.5000 0.0000  4 O 2.46
O: 0.3073 0.3073 0.3073  1 Hf 2.00
O: 0.3073 0.6927 0.6927  1 Hf 2.00
O: 0.6927 0.3073 0.6927  1 Hf 2.00
O: 0.6927 0.6927 0.3073  1 Hf 2.00

***

Record 7
DFT (PBE) results for a relaxed structure of KHfHg3Se4.

Output
- E (eV per atom) = -3.40
- SG = P-43m (215)

a = 7.0685 Å, b = 7.0685 Å, c = 7.0685 Å
α = 90.00°, β = 90.00°, γ = 90.00°
With the nearest neighbours (Å) after each atom.
Fractional positions:
K: 0.0000 0.0000 0.0000  4 Se 3.57
Hf: 0.5000 0.5000 0.5000  4 Se 2.55
Hg: 0.0000 0.5000 0.5000  4 Se 2.93
Hg: 0.5000 0.0000 0.5000  4 Se 2.93
Hg: 0.5000 0.5000 0.0000  4 Se 2.93
Se: 0.2914 0.2914 0.2914  1 Hf 2.55
Se: 0.2914 0.7086 0.7086  1 Hf 2.55
Se: 0.7086 0.2914 0.7086  1 Hf 2.55
Se: 0.7086 0.7086 0.2914  1 Hf 2.55

***

Record 8
DFT (PBE) results for a relaxed structure of KHfHg3Te4.

Output
- E (eV per atom) = -3.04
- SG = P-43m (215)

a = 7.4377 Å, b = 7.4377 Å, c = 7.4377 Å
α = 90.00°, β = 90.00°, γ = 90.00°
With the nearest neighbours (Å) after each atom.
Fractional positions:
K: 0.0000 0.0000 0.0000  4 Te 3.68
Hf: 0.5000 0.5000 0.5000  4 Te 2.76
Hg: 0.0000 0.5000 0.5000  4 Te 3.10
Hg: 0.5000 0.0000 0.5000  4 Te 3.10
Hg: 0.5000 0.5000 0.0000  4 Te 3.10
Te: 0.2856 0.2856 0.2856  1 Hf 2.76
Te: 0.2856 0.7144 0.7144  1 Hf 2.76
Te: 0.7144 0.2856 0.7144  1 Hf 2.76
Te: 0.7144 0.7144 0.2856  1 Hf 2.76

***

Record 9
DFT (PBE) results for a relaxed structure of La2Hf3Hg2.

Output
- energy relative to the elements (eV/atom) = -0.07
- SG = R3m (160)

a = 8.4081 Å, b = 8.4081 Å, c = 8.4081 Å
α = 36.03°, β = 36.03°, γ = 36.03°
With the nearest neighbours (Å) after each atom.
Fractional positions:
La: 0.0000 0.0000 0.0000  7 Hf 3.15-3.52, 4 Hg 3.26-3.37
La: 0.4418 0.4418 0.4418  6 Hg 3.11-3.26, 1 Hf 3.45
Hf: 0.2622 0.2622 0.2622  1 Hg 2.81, 3 Hf 3.01
Hf: 0.5885 0.5885 0.5885  6 Hf 3.01-3.27, 1 Hg 3.12
Hf: 0.8665 0.8665 0.8665  1 La 3.15, 6 Hf 3.27-3.34, 4 Hg 3.29-3.43
Hg: 0.1431 0.1431 0.1431  1 Hf 2.81, 3 La 3.11
Hg: 0.7210 0.7210 0.7210  2 Hf 3.12-3.43, 6 La 3.26

***

Record 10
DFT (PBE) results for a relaxed structure of Li3HfHg2.

Output
- E (eV per atom) = -2.83
- SG = P4mm (99)

a = 3.4187 Å, b = 3.4187 Å, c = 9.3350 Å
α = 90.00°, β = 90.00°, γ = 90.00°
With the nearest neighbours (Å) after each atom.
Fractional positions:
Li: 0.0000 0.0000 0.0000  4 Hg 2.75, 1 Li 2.82, 4 Hf 2.99
Li: 0.0000 0.0000 0.3019  5 Li 2.82-2.85, 5 Hg 2.85-3.03
Li: 0.5000 0.5000 0.4639  4 Li 2.85, 5 Hg 2.86-3.02
Hf: 0.5000 0.5000 0.8110  5 Hg 2.97-3.07, 5 Li 2.99-3.24
Hg: 0.0000 0.0000 0.6266  5 Li 2.86-3.03, 4 Hf 2.97
Hg: 0.5000 0.5000 0.1404  9 Li 2.75-3.02, 1 Hf 3.07

***

Record 11
DFT (PBE) results for a relaxed structure of Li2HfHg.

Output
- E (eV per atom) = -3.51
- SG = F-43m (216)

a = 4.6406 Å, b = 4.6406 Å, c = 4.6406 Å
α = 60.00°, β = 60.00°, γ = 60.00°
With the nearest neighbours (Å) after each atom.
Fractional positions:
Li: 0.0000 0.0000 0.0000  4 Hg 2.84, 4 Li 2.84
Li: 0.2500 0.2500 0.2500  4 Hf 2.84, 4 Li 2.84
Hf: 0.5000 0.5000 0.5000  4 Hg 2.84, 4 Li 2.84
Hg: 0.7500 0.7500 0.7500  4 Hf 2.84, 4 Li 2.84

***

Record 12
DFT (PBE) results for a relaxed structure of LiHf2Hg.

Output
- E (eV per atom) = -5.21
- SG = F-43m (216)

a = 4.8788 Å, b = 4.8788 Å, c = 4.8788 Å
α = 60.00°, β = 60.00°, γ = 60.00°
With the nearest neighbours (Å) after each atom.
Fractional positions:
Li: 0.0000 0.0000 0.0000  4 Hf 2.99, 4 Hg 2.99
Hf: 0.5000 0.5000 0.5000  4 Hf 2.99, 4 Hg 2.99
Hf: 0.7500 0.7500 0.7500  4 Hf 2.99, 4 Li 2.99
Hg: 0.2500 0.2500 0.2500  4 Hf 2.99, 4 Li 2.99

***

Q: Which formula does entry 11 have?
A: Li2HfHg